The following is a GGA-PBEsol calculation of crystalline ZrCd at its relaxed geometry, from Alexandria.

## Properties
DFT formation energy in eV/atom: -0.0551
D(E_F) in states/eV per cell: 0.9

Cell lengths 3.0018, 3.0018, 5.2896 Å; angles 90.00, 90.00, 120.00 degrees
Closest atoms and distances in Å follow each position.
Sites, in units of the cell vectors:
Zr1 0.6667 0.3333 0.5000  6 Zr 3.00, 6 Cd 3.16
Cd1 0.0000 0.0000 0.0000  6 Cd 3.00, 6 Zr 3.16